The following is a DFT calculation (PBE-GGA) of crystalline Mg2GeSe at its relaxed geometry.

Energy relative to the lowest polymorph listed for this composition   0 meV/atom
Raw formation energy   -300.3 meV/atom

Lattice parameters (Å, degrees): 6.756 6.756 6.756 120.57 120.57 89.01
Atoms (fractional coordinates):
Mg: 0.105 0.625 0.980
Mg: 0.375 0.355 0.480
Mg: 0.645 0.125 0.020
Mg: 0.875 0.895 0.520
Ge: 0.250 0.750 0.500
Ge: 0.500 0.500 0.000
Se: 0.000 0.000 0.000
Se: 0.750 0.250 0.500

The following is a DFT calculation (PBE-GGA) of crystalline LaZn2AsN at its relaxed geometry.

Energy relative to the lowest polymorph listed for this composition   0 meV/atom
Raw formation energy   -571.5 meV/atom

Lattice parameters (Å, degrees): 6.012 6.012 7.989 90.00 90.00 142.70
Atoms (fractional coordinates):
La: 0.042 0.958 0.750
La: 0.958 0.042 0.250
Zn: 0.330 0.670 0.549
Zn: 0.330 0.670 0.951
Zn: 0.670 0.330 0.049
Zn: 0.670 0.330 0.451
As: 0.233 0.767 0.250
As: 0.767 0.233 0.750
N: 0.500 0.500 0.000
N: 0.500 0.500 0.500

The following is a DFT calculation (PBE-GGA) of crystalline PuTh2In at its relaxed geometry.

Energy relative to the lowest polymorph listed for this composition   702 meV/atom
Formation energy from the elements   583 meV/atom

Lattice parameters (Å, degrees): 9.051 9.051 9.051 23.94 23.94 23.94
Atoms (fractional coordinates):
Pu: 0.000 0.000 0.000
Th: 0.398 0.398 0.398
Th: 0.602 0.602 0.602
In: 0.833 0.833 0.833

The following is a DFT calculation (PBE-GGA) of crystalline LiCe3Se2Br6 at its relaxed geometry.

Raw formation energy   -1691.8 meV/atom

Lattice parameters (Å, degrees): 8.372 8.372 6.524 91.80 91.80 62.40
Atoms (fractional coordinates):
Li: 0.000 0.000 0.000
Ce: 0.000 0.500 0.000
Ce: 0.500 0.000 0.000
Ce: 0.500 0.500 0.500
Se: 0.331 0.331 0.240
Se: 0.669 0.669 0.760
Br: 0.152 0.152 0.767
Br: 0.161 0.677 0.746
Br: 0.323 0.839 0.254
Br: 0.677 0.161 0.746
Br: 0.839 0.323 0.254
Br: 0.848 0.848 0.233

The following is a DFT calculation (PBE-GGA) of crystalline TbDyInPb at its relaxed geometry.

Energy relative to the lowest polymorph listed for this composition   42 meV/atom
Formation energy from the elements   -410 meV/atom

Lattice parameters (Å, degrees): 5.398 5.398 5.398 60.00 60.00 60.00
Atoms (fractional coordinates):
Tb: 0.000 0.000 0.000
Dy: 0.500 0.500 0.500
In: 0.250 0.250 0.250
Pb: 0.750 0.750 0.750

The following is a DFT calculation (PBE-GGA) of crystalline Tb2ThPd at its relaxed geometry.

Energy relative to the lowest polymorph listed for this composition   0 meV/atom
Formation energy from the elements   -401 meV/atom

Lattice parameters (Å, degrees): 3.583 3.583 8.344 90.00 90.00 90.00
Atoms (fractional coordinates):
Tb: 0.000 0.000 0.204
Tb: 0.000 0.000 0.796
Th: 0.500 0.500 0.500
Pd: 0.500 0.500 0.000